## ZnCrN2O (PBE+U)

Data for an optimized crystal structure of ZnCrN2O.

Results
* crystal system: tetragonal
* electronic total energy: -27.247 eV/f.u.

Cell lengths 3.6444, 3.6444, 3.9450 Å; angles 90.00, 90.00, 90.00 degrees
With the nearest neighbours (Å) after each atom.
Positions (direct):
Zn 0.0000 0.0000 0.0000  4 O 2.58, 8 N 2.69
Cr 0.5000 0.5000 0.5000  4 N 1.82, 2 O 1.97
N 0.0000 0.5000 0.5000  2 Cr 1.82
N 0.5000 0.0000 0.5000  2 Cr 1.82
O 0.5000 0.5000 0.0000  2 Cr 1.97